(1)
Entry from Alexandria: a relaxed TbZrTe4 crystal (PBE-GGA).

abc: 7.284 7.391 7.325
angles: 90.00 91.92 90.00
Space group P2_1/c (No. 14)
Asymmetric unit:
Tb1 0.000 0.000 0.000
Zr1 0.500 0.000 0.500
Te1 0.141 0.128 0.386
Te2 0.373 0.649 0.343

**Energy relative to the lowest polymorph listed for this composition**: 151 meV per atom
**Calculated density**: 6.408 g/cm³

---

(2)
Entry from Alexandria: a relaxed Li2PmGd crystal (PBE-GGA).

abc: 7.516 7.516 7.516
angles: 90.00 90.00 90.00
Space group Fm-3m (No. 225)
Asymmetric unit:
Li1 0.250 0.250 0.250
Pm1 0.000 0.000 0.000
Gd1 0.000 0.000 0.500

**Energy relative to the lowest polymorph listed for this composition**: 0 meV per atom
**Calculated density**: 4.945 g/cm³
**Energy of formation from the pure elements**: 0.13 eV per atom

---

(3)
Entry from Alexandria: a relaxed CdHg3F6 crystal (PBE-GGA).

abc: 9.704 3.468 10.755
angles: 90.00 112.37 90.00
Space group P2_1/m (No. 11)
Asymmetric unit:
Cd1 0.069 0.250 0.172
Hg1 0.121 0.750 0.545
Hg2 0.326 0.250 0.997
Hg3 0.453 0.750 0.391
F1 0.101 0.250 0.824
F2 0.126 0.750 0.044
F3 0.177 0.750 0.326
F4 0.293 0.250 0.618
F5 0.353 0.250 0.220
F6 0.408 0.750 0.895

**Calculated total energy**: -2.792 eV per atom
**Calculated density**: 8.217 g/cm³

---

(4)
Entry from Alexandria: a relaxed Er3Tl3Cd crystal (PBE-GGA).

abc: 8.9811 8.9811 5.4180
angles: 90.00 90.00 120.00
Space group P6_3/m (No. 176)
Asymmetric unit:
Er1 0.1010 0.4547 0.2500
Tl1 0.0530 0.2509 0.7500
Cd1 0.3333 0.6667 0.7500

**Energy relative to the lowest polymorph listed for this composition**: 52 meV per atom
**Calculated density**: 10.770 g/cm³
**Energy of formation from the pure elements**: -0.17 eV per atom